Record 1
# BaPaRuN4 | Alexandria | GGA-PBE | optimized geometry
data_BaPaRuN4
_space_group_name_H-M_alt 'P 1 21/m 1'
_space_group_IT_number 11
_cell_length_a 6.032
_cell_length_b 5.648
_cell_length_c 7.444
_cell_angle_alpha 90.00
_cell_angle_beta 107.39
_cell_angle_gamma 90.00
loop_
_space_group_symop_operation_xyz
'x,y,z'
'-x,-y,-z'
'-x,y+1/2,-z'
'x,-y+1/2,z'
loop_
_atom_site_label
_atom_site_type_symbol
_atom_site_fract_x
_atom_site_fract_y
_atom_site_fract_z
Ba1 Ba 0.213 0.250 0.434
Pa1 Pa 0.289 0.250 0.957
Ru1 Ru 0.252 0.750 0.169
N1 N 0.026 0.750 0.937
N2 N 0.046 0.750 0.313
N3 N 0.490 0.513 0.188
# V (Å³/cell): 242
# Fermi-level density of states (states/eV per cell): 10.7
# Energy relative to the elements, uncorrected (eV/atom): -0.56
# Total DFT energy (no corrections) (eV/f.u.): -57.9

Record 2
# YHSeBr2 | Alexandria | GGA-PBE | optimized geometry
data_YHSeBr2
_space_group_name_H-M_alt 'P 4/m m m'
_space_group_IT_number 123
_space_group_name_Hall '-P 4 2'
_cell_length_a 5.194
_cell_length_b 5.194
_cell_length_c 3.784
_cell_angle_alpha 90.00
_cell_angle_beta 90.00
_cell_angle_gamma 90.00
loop_
_atom_site_label
_atom_site_type_symbol
_atom_site_fract_x
_atom_site_fract_y
_atom_site_fract_z
Y1 Y 0.000 0.000 0.000
H1 H 0.500 0.500 0.500
Se1 Se 0.500 0.500 0.000
Br1 Br 0.000 0.500 0.500
# V (Å³/cell): 102
# Fermi-level density of states (states/eV per cell): 4.0
# Total DFT energy (no corrections) (eV/f.u.): -18.5
# Polymorph energy (0 for the lowest one) (eV/atom): 0.1737